Record 1
CaCuNi: relaxed, GGA-PBE.

## Properties
- VASP energy (eV/atom) = -3.2685

Cell and atoms, written as CIF:
```
data_CaCuNi
_chemical_formula_sum 'Ca4 Cu4 Ni4'
_space_group_name_H-M_alt 'F -4 3 m'
_space_group_IT_number 216
_space_group_name_Hall 'F -4 2 3'
_cell_length_a 6.3632
_cell_length_b 6.3632
_cell_length_c 6.3632
_cell_angle_alpha 90.00
_cell_angle_beta 90.00
_cell_angle_gamma 90.00
loop_
_atom_site_label
_atom_site_fract_x
_atom_site_fract_y
_atom_site_fract_z
Ca1 0.0000 0.0000 0.0000
Cu1 0.2500 0.2500 0.7500
Ni1 0.2500 0.2500 0.2500
```

=====

Record 2
CaCuNi2: relaxed, GGA-PBE.

## Properties
- VASP energy (eV/atom) = -4.2456

Cell and atoms, written as CIF:
```
data_CaCuNi2
_chemical_formula_sum 'Ca2 Cu2 Ni4'
_space_group_name_H-M_alt 'I -4 m 2'
_space_group_IT_number 119
_space_group_name_Hall 'I -4 -2'
_cell_length_a 3.9126
_cell_length_b 3.9126
_cell_length_c 7.7832
_cell_angle_alpha 90.00
_cell_angle_beta 90.00
_cell_angle_gamma 90.00
loop_
_atom_site_label
_atom_site_fract_x
_atom_site_fract_y
_atom_site_fract_z
Ca1 0.0000 0.0000 0.0000
Cu1 0.0000 0.5000 0.7500
Ni1 0.0000 0.0000 0.5000
Ni2 0.0000 0.5000 0.2500
```